No. 1
## FeRe3Rh (PBEsol)

Data for a relaxed FeRe3Rh crystal.

a b c (Å): 4.5721 4.5721 4.5721
angles (deg): 90.00 90.00 90.00
Closest atoms and distances in Å follow each position.
Positions (direct):
Fe: 0.0000 0.0000 0.0000  12 Re 3.23
Re: 0.0000 0.5000 0.5000  2 Rh 2.29
Re: 0.5000 0.0000 0.5000  2 Rh 2.29
Re: 0.5000 0.5000 0.0000  2 Rh 2.29
Rh: 0.5000 0.5000 0.5000  6 Re 2.29

Computed properties:
Calculated formation energy in meV per atom: 2621
V in Å³/atom: 19.115
N(E_F) in states/eV/atom: 1.63



No. 2
## NaIn2Hg2 (PBEsol)

Data for a relaxed NaIn2Hg2 crystal.

a b c (Å): 4.3968 4.3968 13.4342
angles (deg): 90.00 90.00 90.00
Closest atoms and distances in Å follow each position.
Positions (direct):
Na: 0.0000 0.0000 0.0000  8 Hg 3.40
Na: 0.5000 0.5000 0.5000  8 Hg 3.40
In: 0.0000 0.5000 0.2500  4 Hg 2.96, 4 In 3.11
In: 0.0000 0.5000 0.7500  4 Hg 2.96, 4 In 3.11
In: 0.5000 0.0000 0.2500  4 Hg 2.96, 4 In 3.11
In: 0.5000 0.0000 0.7500  4 Hg 2.96, 4 In 3.11
Hg: 0.0000 0.0000 0.3980  1 Hg 2.74, 4 In 2.96
Hg: 0.0000 0.0000 0.6020  1 Hg 2.74, 4 In 2.96
Hg: 0.5000 0.5000 0.1020  1 Hg 2.74, 4 In 2.96
Hg: 0.5000 0.5000 0.8980  1 Hg 2.74, 4 In 2.96

Computed properties:
Calculated formation energy in meV per atom: -113
V in Å³/atom: 25.971
N(E_F) in states/eV/atom: 0.43



No. 3
## Cu2ReSe (PBEsol)

Data for a relaxed Cu2ReSe crystal.

a b c (Å): 3.2962 4.1442 8.3848
angles (deg): 90.00 90.00 90.00
Closest atoms and distances in Å follow each position.
Positions (direct):
Cu: 0.0000 0.0000 0.2357  4 Re 2.57-2.86, 4 Cu 2.65, 2 Se 2.76
Cu: 0.0000 0.0000 0.7643  4 Re 2.57-2.86, 4 Cu 2.65, 2 Se 2.76
Cu: 0.5000 0.5000 0.2357  4 Re 2.57-2.86, 4 Cu 2.65, 2 Se 2.76
Cu: 0.5000 0.5000 0.7643  4 Re 2.57-2.86, 4 Cu 2.65, 2 Se 2.76
Re: 0.0000 0.5000 0.0000  8 Cu 2.57-2.86, 4 Re 2.65
Re: 0.5000 0.0000 0.0000  8 Cu 2.57-2.86, 4 Re 2.65
Se: 0.0000 0.5000 0.5000  4 Se 2.65, 4 Cu 2.76
Se: 0.5000 0.0000 0.5000  4 Se 2.65, 4 Cu 2.76

Computed properties:
V in Å³/atom: 14.317
N(E_F) in states/eV/atom: 0.58



No. 4
## LiY2Ag (PBEsol)

Data for a relaxed LiY2Ag crystal.

a b c (Å): 7.2062 7.2062 7.2062
angles (deg): 90.00 90.00 90.00
Closest atoms and distances in Å follow each position.
Positions (direct):
Li: 0.0000 0.0000 0.0000  8 Y 3.12
Li: 0.0000 0.5000 0.5000  8 Y 3.12
Li: 0.5000 0.0000 0.5000  8 Y 3.12
Li: 0.5000 0.5000 0.0000  8 Y 3.12
Y: 0.2500 0.2500 0.2500  4 Li 3.12, 4 Ag 3.12
Y: 0.2500 0.2500 0.7500  4 Li 3.12, 4 Ag 3.12
Y: 0.2500 0.7500 0.2500  4 Li 3.12, 4 Ag 3.12
Y: 0.2500 0.7500 0.7500  4 Li 3.12, 4 Ag 3.12
Y: 0.7500 0.2500 0.2500  4 Li 3.12, 4 Ag 3.12
Y: 0.7500 0.2500 0.7500  4 Li 3.12, 4 Ag 3.12
Y: 0.7500 0.7500 0.2500  4 Li 3.12, 4 Ag 3.12
Y: 0.7500 0.7500 0.7500  4 Li 3.12, 4 Ag 3.12
Ag: 0.0000 0.0000 0.5000  8 Y 3.12
Ag: 0.0000 0.5000 0.0000  8 Y 3.12
Ag: 0.5000 0.0000 0.0000  8 Y 3.12
Ag: 0.5000 0.5000 0.5000  8 Y 3.12

Computed properties:
E above lowest polymorph in kJ per mole of atoms: 0.0
Calculated formation energy in meV per atom: -115
V in Å³/atom: 23.388
N(E_F) in states/eV/atom: 0.73



No. 5
## NaSe2 (PBEsol)

Data for a relaxed NaSe2 crystal.

a b c (Å): 9.3250 9.3250 9.3250
angles (deg): 115.18 115.18 98.57
Closest atoms and distances in Å follow each position.
Positions (direct):
Na: 0.1369 0.6250 0.0119  6 Se 2.88-3.19
Na: 0.1932 0.1932 0.0000  6 Se 2.90-3.13
Na: 0.3750 0.3869 0.5119  6 Se 2.88-3.19
Na: 0.5568 0.0568 0.5000  6 Se 2.90-3.13
Na: 0.6131 0.1250 0.9881  6 Se 2.88-3.19
Na: 0.8068 0.8068 0.0000  6 Se 2.90-3.13
Na: 0.8750 0.8631 0.4881  6 Se 2.88-3.19
Na: 0.9432 0.4432 0.5000  6 Se 2.90-3.13
Se: 0.0143 0.2744 0.7060  1 Se 2.40
Se: 0.0175 0.5345 0.2451  2 Se 2.38-2.40
Se: 0.0244 0.2643 0.2060  1 Se 2.40
Se: 0.0583 0.8184 0.7940  1 Se 2.40
Se: 0.1816 0.9756 0.2399  1 Se 2.40
Se: 0.2276 0.9825 0.5170  2 Se 2.38-2.40
Se: 0.2845 0.2675 0.7451  2 Se 2.38-2.40
Se: 0.2894 0.7724 0.7549  2 Se 2.38-2.40
Se: 0.4606 0.7155 0.9830  2 Se 2.38-2.40
Se: 0.4655 0.7106 0.4830  2 Se 2.38-2.40
Se: 0.5224 0.5394 0.2549  2 Se 2.38-2.40
Se: 0.5684 0.3083 0.2940  1 Se 2.40
Se: 0.6917 0.9857 0.2601  1 Se 2.40
Se: 0.7256 0.4316 0.7399  1 Se 2.40
Se: 0.7325 0.4776 0.0170  2 Se 2.38-2.40
Se: 0.7357 0.9417 0.7601  1 Se 2.40

Computed properties:
V in Å³/atom: 25.323



No. 6
## GeAsI2O (PBEsol)

Data for a relaxed GeAsI2O crystal.

a b c (Å): 5.7093 5.7093 3.7663
angles (deg): 90.00 90.00 90.00
Closest atoms and distances in Å follow each position.
Positions (direct):
Ge: 0.0000 0.0000 0.0000  8 I 3.42, 2 Ge 3.77
As: 0.5000 0.5000 0.5000  2 O 1.88
I: 0.0000 0.5000 0.5000  2 As 2.85
I: 0.5000 0.0000 0.5000  2 As 2.85
O: 0.5000 0.5000 0.0000  2 As 1.88

Computed properties:
V in Å³/atom: 24.554
N(E_F) in states/eV/atom: 0.39



No. 7
## TePCl2F (PBEsol)

Data for a relaxed TePCl2F crystal.

a b c (Å): 5.3338 5.3338 3.5571
angles (deg): 90.00 90.00 90.00
Closest atoms and distances in Å follow each position.
Positions (direct):
Te: 0.0000 0.0000 0.0000  8 Cl 3.21, 2 Te 3.56
P: 0.5000 0.5000 0.0000  2 F 1.78
Cl: 0.0000 0.5000 0.5000  2 F 2.67
Cl: 0.5000 0.0000 0.5000  2 F 2.67
F: 0.5000 0.5000 0.5000  2 P 1.78

Computed properties:
V in Å³/atom: 20.239
N(E_F) in states/eV/atom: 0.78



No. 8
## BeRhAu2 (PBEsol)

Data for a relaxed BeRhAu2 crystal.

a b c (Å): 2.8008 2.8008 24.8138
angles (deg): 90.00 90.00 120.00
Closest atoms and distances in Å follow each position.
Positions (direct):
Be: 0.0000 0.0000 0.0000  6 Au 2.44
Be: 0.3333 0.6667 0.6667  6 Au 2.44
Be: 0.6667 0.3333 0.3333  6 Au 2.44
Rh: 0.0000 0.0000 0.5000  6 Rh 2.80, 6 Au 2.81
Rh: 0.3333 0.6667 0.1667  6 Rh 2.80, 6 Au 2.81
Rh: 0.6667 0.3333 0.8333  6 Rh 2.80, 6 Au 2.81
Au: 0.0000 0.0000 0.2595  3 Be 2.44
Au: 0.0000 0.0000 0.7405  3 Be 2.44
Au: 0.3333 0.6667 0.4072  3 Be 2.44
Au: 0.3333 0.6667 0.9262  3 Be 2.44
Au: 0.6667 0.3333 0.0738  3 Be 2.44
Au: 0.6667 0.3333 0.5928  3 Be 2.44

Computed properties:
Calculated formation energy in meV per atom: 58
V in Å³/atom: 14.048
N(E_F) in states/eV/atom: 0.88



Number 1: DFT total energy -8.798 eV/atom. Number 2: DFT total energy -1.813 eV/atom. Number 3: DFT total energy -6.026 eV/atom. Number 4: DFT total energy -4.846 eV/atom. Number 5: DFT total energy -3.582 eV/atom. Number 6: DFT total energy -3.768 eV/atom. Number 7: DFT total energy -2.932 eV/atom. Number 8: DFT total energy -4.938 eV/atom.